No. 1
Below is SrBeNi2 after structural relaxation, with properties calculated at the GGA-PBE level.

Structure (CIF):
```
data_SrBeNi2
_chemical_formula_sum 'Sr4 Be4 Ni8'
_cell_length_a 4.6143
_cell_length_b 4.6143
_cell_length_c 14.5473
_cell_angle_alpha 90.00
_cell_angle_beta 90.00
_cell_angle_gamma 90.00
_symmetry_space_group_name_H-M 'I -4 2 d'
_symmetry_Int_Tables_number 122
_symmetry_space_group_name_Hall 'I -4 2bw'
loop_
_atom_site_label
_atom_site_type_symbol
_atom_site_fract_x
_atom_site_fract_y
_atom_site_fract_z
Sr1 Sr 0.0000 0.0000 0.0000
Be1 Be 0.0000 0.0000 0.5000
Ni1 Ni 0.0205 0.7500 0.6250
```

- ΔH_f (0 K) (eV per formula unit) = 0.421
- density (g/cm3) = 4.6
- distance to the lowest polymorph of the same formula (eV per atom) = 0.248
- uncorrected energy (eV/atom) = -4.137
- M_tot (μB per cell) = 0.0

=====

No. 2
Below is CoAsP2 after structural relaxation, with properties calculated at the GGA-PBE level.

Structure (CIF):
```
data_CoAsP2
_chemical_formula_sum 'Co2 As2 P4'
_cell_length_a 3.2838
_cell_length_b 3.3958
_cell_length_c 11.4050
_cell_angle_alpha 90.00
_cell_angle_beta 90.00
_cell_angle_gamma 90.00
_symmetry_space_group_name_H-M 'I m m 2'
_symmetry_Int_Tables_number 44
loop_
_symmetry_equiv_pos_as_xyz
'x,y,z'
'-x,-y,z'
'-x,y,z'
'x,-y,z'
'x+1/2,y+1/2,z+1/2'
'-x+1/2,-y+1/2,z+1/2'
'-x+1/2,y+1/2,z+1/2'
'x+1/2,-y+1/2,z+1/2'
loop_
_atom_site_label
_atom_site_type_symbol
_atom_site_fract_x
_atom_site_fract_y
_atom_site_fract_z
Co1 Co 0.0000 0.0000 0.0000
As1 As 0.0000 0.5000 0.1615
P1 P 0.0000 0.0000 0.4968
P2 P 0.0000 0.5000 0.8565
```

- ΔH_f (0 K) (eV per formula unit) = 0.355
- density (g/cm3) = 5.1
- uncorrected energy (eV/atom) = -5.555
- M_tot (μB per cell) = 0.0

=====

No. 3
Below is Lu2HfPt after structural relaxation, with properties calculated at the GGA-PBE level.

Structure (CIF):
```
data_Lu2HfPt
_chemical_formula_sum 'Lu2 Hf1 Pt1'
_cell_length_a 3.4238
_cell_length_b 3.4238
_cell_length_c 7.7260
_cell_angle_alpha 90.00
_cell_angle_beta 90.00
_cell_angle_gamma 90.00
_symmetry_space_group_name_H-M 'P 4/m m m'
_symmetry_Int_Tables_number 123
_symmetry_space_group_name_Hall '-P 4 2'
loop_
_atom_site_label
_atom_site_type_symbol
_atom_site_fract_x
_atom_site_fract_y
_atom_site_fract_z
Lu1 Lu 0.0000 0.0000 0.2160
Hf1 Hf 0.5000 0.5000 0.5000
Pt1 Pt 0.5000 0.5000 0.0000
```

- ΔH_f (0 K) (eV per formula unit) = -2.340
- density (g/cm3) = 13.3
- uncorrected energy (eV/atom) = -6.844
- M_tot (μB per cell) = 0.0

=====

No. 4
Below is Ag7Pd5 after structural relaxation, with properties calculated at the GGA-PBE level.

Structure (CIF):
```
data_Ag7Pd5
_chemical_formula_sum 'Ag14 Pd10'
_cell_length_a 14.8953
_cell_length_b 2.8606
_cell_length_c 10.6570
_cell_angle_alpha 90.00
_cell_angle_beta 117.72
_cell_angle_gamma 90.00
_symmetry_space_group_name_H-M 'C 1 2/m 1'
_symmetry_Int_Tables_number 12
loop_
_symmetry_equiv_pos_as_xyz
'x,y,z'
'-x,-y,-z'
'-x,y,-z'
'x,-y,z'
'x+1/2,y+1/2,z'
'-x+1/2,-y+1/2,-z'
'-x+1/2,y+1/2,-z'
'x+1/2,-y+1/2,z'
loop_
_atom_site_label
_atom_site_type_symbol
_atom_site_fract_x
_atom_site_fract_y
_atom_site_fract_z
Ag1 Ag 0.0000 0.0000 0.0000
Ag2 Ag 0.0285 0.5000 0.2510
Ag3 Ag 0.1402 0.0000 0.7525
Ag4 Ag 0.1679 0.0000 0.5037
Pd1 Pd 0.0000 0.5000 0.5000
Pd2 Pd 0.1681 0.5000 0.0022
Pd3 Pd 0.1927 0.0000 0.2462
```

- ΔH_f (0 K) (eV per formula unit) = -0.381
- density (g/cm3) = 10.6
- distance to the lowest polymorph of the same formula (eV per atom) = 0.000
- uncorrected energy (eV/atom) = -3.859
- M_tot (μB per cell) = 0.0

=====

No. 5
Below is In2HgW after structural relaxation, with properties calculated at the GGA-PBE level.

Structure (CIF):
```
data_In2HgW
_chemical_formula_sum 'In4 Hg2 W2'
_cell_length_a 6.1712
_cell_length_b 8.6425
_cell_length_c 3.0510
_cell_angle_alpha 90.00
_cell_angle_beta 90.00
_cell_angle_gamma 90.00
_symmetry_space_group_name_H-M 'C m m m'
_symmetry_Int_Tables_number 65
_symmetry_space_group_name_Hall '-C 2 2'
loop_
_atom_site_label
_atom_site_type_symbol
_atom_site_fract_x
_atom_site_fract_y
_atom_site_fract_z
In1 In 0.2500 0.2500 0.0000
Hg1 Hg 0.0000 0.0000 0.5000
W1 W 0.0000 0.5000 0.5000
```

- ΔH_f (0 K) (eV per formula unit) = 2.321
- density (g/cm3) = 12.5
- uncorrected energy (eV/atom) = -4.103
- M_tot (μB per cell) = 0.0

=====

No. 6
Below is NaGa10Pd2 after structural relaxation, with properties calculated at the GGA-PBE level.

Structure (CIF):
```
data_NaGa10Pd2
_chemical_formula_sum 'Na4 Ga40 Pd8'
_cell_length_a 9.3149
_cell_length_b 10.2280
_cell_length_c 9.7886
_cell_angle_alpha 90.00
_cell_angle_beta 90.00
_cell_angle_gamma 90.00
_symmetry_space_group_name_H-M 'C m c m'
_symmetry_Int_Tables_number 63
_symmetry_space_group_name_Hall '-C 2c 2'
loop_
_atom_site_label
_atom_site_type_symbol
_atom_site_fract_x
_atom_site_fract_y
_atom_site_fract_z
Na1 Na 0.0000 0.1192 0.2500
Ga1 Ga 0.0000 0.1575 0.6156
Ga2 Ga 0.0000 0.3796 0.0342
Ga3 Ga 0.1541 0.3744 0.7500
Ga4 Ga 0.1864 0.3644 0.2500
Ga5 Ga 0.1985 0.0000 0.0000
Pd1 Pd 0.2500 0.2500 0.0000
```

- ΔH_f (0 K) (eV per formula unit) = -2.976
- density (g/cm3) = 6.6
- uncorrected energy (eV/atom) = -3.458
- M_tot (μB per cell) = 0.0

=====

No. 7
Below is RbGaSb2 after structural relaxation, with properties calculated at the GGA-PBE level.

Structure (CIF):
```
data_RbGaSb2
_chemical_formula_sum 'Rb1 Ga1 Sb2'
_cell_length_a 4.0395
_cell_length_b 4.0395
_cell_length_c 7.7172
_cell_angle_alpha 90.00
_cell_angle_beta 90.00
_cell_angle_gamma 90.00
_symmetry_space_group_name_H-M 'P 4/m m m'
_symmetry_Int_Tables_number 123
_symmetry_space_group_name_Hall '-P 4 2'
loop_
_atom_site_label
_atom_site_type_symbol
_atom_site_fract_x
_atom_site_fract_y
_atom_site_fract_z
Rb1 Rb 0.0000 0.0000 0.0000
Ga1 Ga 0.0000 0.0000 0.5000
Sb1 Sb 0.5000 0.5000 0.3203
```

- density (g/cm3) = 5.3
- ΔE_f (raw) (meV per atom) = -78
- uncorrected energy (eV/atom) = -3.138
- M_tot (μB per cell) = 0.0

=====

No. 8
Below is ErSc3Tc after structural relaxation, with properties calculated at the GGA-PBE level.

Structure (CIF):
```
data_ErSc3Tc
_chemical_formula_sum 'Er4 Sc12 Tc4'
_cell_length_a 11.1333
_cell_length_b 8.0874
_cell_length_c 7.3692
_cell_angle_alpha 90.00
_cell_angle_beta 131.24
_cell_angle_gamma 90.00
_symmetry_space_group_name_H-M 'C 1 2/m 1'
_symmetry_Int_Tables_number 12
loop_
_symmetry_equiv_pos_as_xyz
'x,y,z'
'-x,-y,-z'
'-x,y,-z'
'x,-y,z'
'x+1/2,y+1/2,z'
'-x+1/2,-y+1/2,-z'
'-x+1/2,y+1/2,-z'
'x+1/2,-y+1/2,z'
loop_
_atom_site_label
_atom_site_type_symbol
_atom_site_fract_x
_atom_site_fract_y
_atom_site_fract_z
Er1 Er 0.0540 0.0000 0.2758
Sc1 Sc 0.0583 0.5000 0.3605
Sc2 Sc 0.2330 0.3053 0.1843
Tc1 Tc 0.2435 0.5000 0.8719
```

- ΔH_f (0 K) (eV per formula unit) = -0.144
- density (g/cm3) = 5.3
- distance to the lowest polymorph of the same formula (eV per atom) = 0.000
- uncorrected energy (eV/atom) = -6.813
- M_tot (μB per cell) = 1.1